First-principles (GGA-PBE) data for a relaxed KFeCu2 crystal, as listed in Alexandria via LeMat-Bulk.

Cell: 2.6475 4.2028 6.9752 Å, 90.00 92.79 90.00°
Space group Pm (No. 6)
Inequivalent atoms, fractional coordinates:
K 0.0000 0.0000 0.0000 [1 per cell]
Fe 0.9265 0.5000 0.3793 [1 per cell]
Cu 0.4424 0.0000 0.4672 [1 per cell]
Cu 0.4617 0.5000 0.6774 [1 per cell]

Values from the calculation:
DFT formation energy	56.3	kJ per mole of atoms
uncorrected energy	-3.8545	eV/atom
E above lowest polymorph	68	meV/atom

First-principles (GGA-PBE) data for a relaxed CuPd2Br8 crystal, as listed in Alexandria via LeMat-Bulk.

Cell: 11.8565 8.2190 10.3427 Å, 90.00 124.45 90.00°
Space group C2/m (No. 12)
Inequivalent atoms, fractional coordinates:
Cu 0.0000 0.0000 0.0000 [2 per cell]
Pd 0.1008 0.0000 0.4159 [4 per cell]
Br 0.0500 0.2024 0.1842 [8 per cell]
Br 0.1437 0.0000 0.6801 [4 per cell]
Br 0.1544 0.5000 0.4656 [4 per cell]

Values from the calculation:
uncorrected energy	-2.7061	eV/atom
raw formation energy	-0.173	eV/atom